# Ta2PtRh PBEsol optimized geometry
# **SG**: Cmmm
# **Size of the total moment**: 0.0 Bohr magnetons per cell
data_Ta2PtRh
_chemical_formula_sum 'Ta2 Pt1 Rh1'
_cell_length_a 2.807
_cell_length_b 4.853
_cell_length_c 4.853
_cell_angle_alpha 109.42
_cell_angle_beta 90.00
_cell_angle_gamma 90.00
_space_group_name_H-M_alt 'P 1'
_space_group_IT_number 1
loop_
_space_group_symop_operation_xyz
'x,y,z'
loop_
_atom_site_label
_atom_site_type_symbol
_atom_site_fract_x
_atom_site_fract_y
_atom_site_fract_z
Rh1 Rh 0.500 0.500 0.500
Pt1 Pt 0.500 0.000 0.000
Ta1 Ta 0.000 0.500 0.000
Ta2 Ta 0.000 0.000 0.500

---

# TaPt2Rh PBEsol optimized geometry
# **SG**: Pmm2
# **Size of the total moment**: 0.0 Bohr magnetons per cell
data_TaPt2Rh
_chemical_formula_sum 'Ta1 Pt2 Rh1'
_cell_length_a 2.781
_cell_length_b 3.887
_cell_length_c 5.572
_cell_angle_alpha 90.00
_cell_angle_beta 90.00
_cell_angle_gamma 90.00
_space_group_name_H-M_alt 'P 1'
_space_group_IT_number 1
loop_
_space_group_symop_operation_xyz
'x,y,z'
loop_
_atom_site_label
_atom_site_type_symbol
_atom_site_fract_x
_atom_site_fract_y
_atom_site_fract_z
Pt1 Pt 0.000 0.000 0.999
Pt2 Pt 0.500 0.500 0.255
Rh1 Rh 0.000 0.000 0.503
Ta1 Ta 0.500 0.500 0.743

---

These records have ΔE_f values of -583, -523 meV/atom, in the order they appear.